[1]
An optimized crystal structure of YRu. Source: Alexandria, functional PBE.

The value obtained for the total energy is -6.660 eV/atom. The value obtained for the formation energy is 1.21 eV/atom. The calculation puts the theoretical density at 5.61 g/cm³.

The space group is F-43m (No. 216) and the conventional cell measures 6.082, 6.082 and 6.082 Å, with angles of 90.00, 90.00 and 90.00 degrees. The asymmetric unit holds Y at (0.000, 0.000, 0.000) and Ru at (0.250, 0.250, 0.750).

---

[2]
An optimized crystal structure of Li4As2Pb. Source: Alexandria, functional PBE.

The value obtained for the total energy is -3.455 eV/atom. The value obtained for the formation energy is -0.50 eV/atom. The calculation puts the theoretical density at 4.77 g/cm³.

The space group is P4_2/mnm (No. 136) and the conventional cell measures 7.865, 7.865 and 4.328 Å, with angles of 90.00, 90.00 and 90.00 degrees. The asymmetric unit holds Li at (0.096, 0.331, 0.000), As at (0.221, 0.779, 0.000) and Pb at (0.000, 0.000, 0.500).

---

[3]
An optimized crystal structure of Pm2ThZr. Source: Alexandria, functional PBE.

The calculation puts the relative energy among the computed polymorphs at 8.64 kJ per mole of atoms. The value obtained for the total energy is -6.138 eV/atom. The value obtained for the formation energy is 0.23 eV/atom. The calculation puts the theoretical density at 8.40 g/cm³.

The space group is P4/mmm (No. 123) and the conventional cell measures 4.100, 4.100 and 7.207 Å, with angles of 90.00, 90.00 and 90.00 degrees. The asymmetric unit holds Pm at (0.000, 0.000, 0.225), Th at (0.500, 0.500, 0.500) and Zr at (0.500, 0.500, 0.000).

---

[4]
An optimized crystal structure of Li3SiTe. Source: Alexandria, functional PBE.

The calculation puts the relative energy among the computed polymorphs at 0.00 kJ per mole of atoms. The value obtained for the total energy is -2.833 eV/atom. The formation energy from raw total energies comes out at 28 meV per atom. The calculation puts the theoretical density at 2.71 g/cm³.

The space group is Pm-3m (No. 221) and the conventional cell measures 4.767, 4.767 and 4.767 Å, with angles of 90.00, 90.00 and 90.00 degrees. The asymmetric unit holds Li at (0.000, 0.000, 0.500), Si at (0.000, 0.000, 0.000) and Te at (0.500, 0.500, 0.500).

---

[5]
An optimized crystal structure of ZrNi2Sn2. Source: Alexandria, functional PBE.

The value obtained for the total energy is -5.989 eV/atom. The value obtained for the formation energy is -0.37 eV/atom. The calculation puts the theoretical density at 7.96 g/cm³.

The space group is Pmmn (No. 59, origin choice 2) and the conventional cell measures 4.330, 4.480 and 9.596 Å, with angles of 90.00, 90.00 and 90.00 degrees. The asymmetric unit holds Zr at (0.250, 0.250, 0.170), Ni at (0.250, 0.750, 0.335), Ni at (0.250, 0.750, 0.984), Sn at (0.250, 0.250, 0.490) and Sn at (0.250, 0.250, 0.831).

---

[6]
An optimized crystal structure of ScW2Cl. Source: Alexandria, functional PBE.

The calculation puts the relative energy among the computed polymorphs at 42.87 kJ per mole of atoms. The value obtained for the total energy is -8.179 eV/atom. The formation energy from raw total energies comes out at 342 meV per atom. The calculation puts the theoretical density at 10.20 g/cm³.

The space group is P2/m (No. 10) and the conventional cell measures 3.110, 5.429 and 4.320 Å, with angles of 90.00, 91.32 and 90.00 degrees. The asymmetric unit holds Sc at (0.000, 0.000, 0.000), W at (0.259, 0.500, 0.235) and Cl at (0.500, 0.000, 0.500).

---

[7]
An optimized crystal structure of SrCaLa2Hg4. Source: Alexandria, functional PBE.

The value obtained for the total energy is -2.383 eV/atom. The value obtained for the formation energy is -0.54 eV/atom. The calculation puts the theoretical density at 8.47 g/cm³.

The space group is R-3m (No. 166, hexagonal axes) and the conventional cell measures 5.5098, 5.5098 and 27.0342 Å, with angles of 90.00, 90.00 and 120.00 degrees. The asymmetric unit holds Sr at (0.0000, 0.0000, 0.0000), Ca at (0.0000, 0.0000, 0.5000), La at (0.0000, 0.0000, 0.2484), Hg at (0.0000, 0.0000, 0.1265) and Hg at (0.0000, 0.0000, 0.3769).

---

[8]
An optimized crystal structure of Ca2OsPt. Source: Alexandria, functional PBE.

The calculation puts the relative energy among the computed polymorphs at 32.88 kJ per mole of atoms. The value obtained for the total energy is -5.049 eV/atom. The value obtained for the formation energy is 0.27 eV/atom. The calculation puts the theoretical density at 9.56 g/cm³.

The space group is C2/m (No. 12) and the conventional cell measures 9.128, 2.892 and 6.156 Å, with angles of 90.00, 95.70 and 90.00 degrees. The asymmetric unit holds Ca at (0.250, 0.000, 0.247), Os at (0.000, 0.500, 0.000) and Pt at (0.000, 0.000, 0.500).

---

[9]
An optimized crystal structure of MgMoBrN2. Source: Alexandria, functional PBE.

The value obtained for the total energy is -5.872 eV/atom. The formation energy from raw total energies comes out at 278 meV per atom. The calculation puts the theoretical density at 4.48 g/cm³.

The space group is P4/mmm (No. 123) and the conventional cell measures 3.956, 3.956 and 5.402 Å, with angles of 90.00, 90.00 and 90.00 degrees. The asymmetric unit holds Mg at (0.000, 0.000, 0.000), Mo at (0.500, 0.500, 0.500), Br at (0.500, 0.500, 0.000) and N at (0.000, 0.500, 0.500).

---

[10]
An optimized crystal structure of Zr3Tl4PdSe8. Source: Alexandria, functional PBE.

The value obtained for the total energy is -5.090 eV/atom. The formation energy from raw total energies comes out at -829 meV per atom. The calculation puts the theoretical density at 7.28 g/cm³.

The space group is C2/m (No. 12) and the conventional cell measures 13.484, 7.796 and 9.129 Å, with angles of 90.00, 119.59 and 90.00 degrees. The asymmetric unit holds Zr at (0.000, 0.000, 0.000), Zr at (0.250, 0.250, 0.000), Tl at (0.000, 0.000, 0.500), Tl at (0.000, 0.500, 0.500), Tl at (0.250, 0.250, 0.500), Pd at (0.000, 0.500, 0.000), Se at (0.018, 0.251, 0.806), Se at (0.229, 0.500, 0.192) and Se at (0.233, 0.000, 0.200).

---

[11]
An optimized crystal structure of NdHoPu2S4. Source: Alexandria, functional PBE.

The value obtained for the total energy is -8.715 eV/atom. The formation energy from raw total energies comes out at -1900 meV per atom. The calculation puts the theoretical density at 8.70 g/cm³.

The space group is P2/m (No. 10) and the conventional cell measures 6.868, 3.957 and 6.888 Å, with angles of 90.00, 109.32 and 90.00 degrees. The asymmetric unit holds Nd at (0.000, 0.000, 0.000), Ho at (0.500, 0.500, 0.000), Pu at (0.000, 0.500, 0.500), Pu at (0.500, 0.000, 0.500), S at (0.258, 0.000, 0.751) and S at (0.259, 0.500, 0.255).

---

[12]
An optimized crystal structure of Pr12Mg5Pa3. Source: Alexandria, functional PBE.

The value obtained for the total energy is -3.846 eV/atom. The value obtained for the formation energy is 0.84 eV/atom. The calculation puts the theoretical density at 5.13 g/cm³.

The space group is Ia-3d (No. 230) and the conventional cell measures 18.648, 18.648 and 18.648 Å, with angles of 90.00, 90.00 and 90.00 degrees. The asymmetric unit holds Pr at (0.016, 0.081, 0.649), Mg at (0.000, 0.000, 0.000), Mg at (0.000, 0.250, 0.375) and Pa at (0.000, 0.250, 0.125).

---

[13]
An optimized crystal structure of BCl. Source: Alexandria, functional PBE.

The calculation puts the relative energy among the computed polymorphs at 26.43 kJ per mole of atoms. The value obtained for the total energy is -4.628 eV/atom. The formation energy from raw total energies comes out at -366 meV per atom. The calculation puts the theoretical density at 1.36 g/cm³.

The space group is P4_2/nmc (No. 137, origin choice 2) and the conventional cell measures 8.734, 8.734 and 5.943 Å, with angles of 90.00, 90.00 and 90.00 degrees. The asymmetric unit holds B at (0.153, 0.750, 0.149) and Cl at (0.009, 0.250, 0.017).

---

[14]
An optimized crystal structure of HfCu6Si2. Source: Alexandria, functional PBE.

The value obtained for the total energy is -5.250 eV/atom. The formation energy from raw total energies comes out at -208 meV per atom. The calculation puts the theoretical density at 8.54 g/cm³.

The space group is P4/mmm (No. 123) and the conventional cell measures 3.707, 3.707 and 8.710 Å, with angles of 90.00, 90.00 and 90.00 degrees. The asymmetric unit holds Hf at (0.000, 0.000, 0.000), Cu at (0.000, 0.000, 0.500), Cu at (0.000, 0.500, 0.294), Cu at (0.500, 0.500, 0.500) and Si at (0.500, 0.500, 0.132).

---

[15]
An optimized crystal structure of SrSb2Pb. Source: Alexandria, functional PBE.

The value obtained for the total energy is -3.811 eV/atom. The formation energy from raw total energies comes out at -403 meV per atom. The calculation puts the theoretical density at 7.05 g/cm³.

The space group is P2/m (No. 10) and the conventional cell measures 4.333, 4.320 and 6.773 Å, with angles of 90.00, 90.09 and 90.00 degrees. The asymmetric unit holds Sr at (0.000, 0.000, 0.000), Sb at (0.500, 0.500, 0.270) and Pb at (0.000, 0.000, 0.500).

---

[16]
An optimized crystal structure of Bi2SbPb. Source: Alexandria, functional PBE.

The calculation puts the relative energy among the computed polymorphs at 1.46 kJ per mole of atoms. The value obtained for the total energy is -3.802 eV/atom. The formation energy from raw total energies comes out at 96 meV per atom. The calculation puts the theoretical density at 9.03 g/cm³.

The space group is R3m (No. 160, hexagonal axes) and the conventional cell measures 4.4596, 4.4596 and 23.9306 Å, with angles of 90.00, 90.00 and 120.00 degrees. The asymmetric unit holds Bi at (0.0000, 0.0000, 0.0000), Bi at (0.0000, 0.0000, 0.1738), Sb at (0.0000, 0.0000, 0.5801) and Pb at (0.0000, 0.0000, 0.7465).

---

[17]
An optimized crystal structure of TlCu3. Source: Alexandria, functional PBE.

The value obtained for the total energy is -3.392 eV/atom. The value obtained for the formation energy is 0.27 eV/atom. The calculation puts the theoretical density at 10.64 g/cm³.

The space group is Pmm2 (No. 25) and the conventional cell measures 3.226, 4.242 and 4.504 Å, with angles of 90.00, 90.00 and 90.00 degrees. The asymmetric unit holds Tl at (0.000, 0.000, 0.000), Cu at (0.000, 0.500, 0.594), Cu at (0.500, 0.000, 0.503) and Cu at (0.500, 0.500, 0.154).

---

[18]
An optimized crystal structure of SrSb2HI. Source: Alexandria, functional PBE.

The calculation puts the relative energy among the computed polymorphs at 0.00 kJ per mole of atoms. The value obtained for the total energy is -3.241 eV/atom. The calculation puts the theoretical density at 5.46 g/cm³.

The space group is P4/mmm (No. 123) and the conventional cell measures 4.564, 4.564 and 6.700 Å, with angles of 90.00, 90.00 and 90.00 degrees. The asymmetric unit holds Sr at (0.000, 0.000, 0.000), Sb at (0.000, 0.500, 0.500), H at (0.500, 0.500, 0.500) and I at (0.500, 0.500, 0.000).

---

[19]
An optimized crystal structure of CaSm3Tc. Source: Alexandria, functional PBE.

The calculation puts the relative energy among the computed polymorphs at 6.24 kJ per mole of atoms. The value obtained for the total energy is -5.215 eV/atom. The value obtained for the formation energy is 0.09 eV/atom. The calculation puts the theoretical density at 5.82 g/cm³.

The space group is Pm-3m (No. 221) and the conventional cell measures 5.520, 5.520 and 5.520 Å, with angles of 90.00, 90.00 and 90.00 degrees. The asymmetric unit holds Ca at (0.000, 0.000, 0.000), Sm at (0.000, 0.500, 0.500) and Tc at (0.500, 0.500, 0.500).

---

[20]
An optimized crystal structure of NpCoPt. Source: Alexandria, functional PBE.

The value obtained for the total energy is -8.706 eV/atom. The value obtained for the formation energy is -0.01 eV/atom. The calculation puts the theoretical density at 17.07 g/cm³.

The space group is Cmcm (No. 63) and the conventional cell measures 3.686, 13.491 and 3.841 Å, with angles of 90.00, 90.00 and 90.00 degrees. The asymmetric unit holds Np at (0.000, 0.228, 0.250), Co at (0.000, 0.440, 0.750) and Pt at (0.000, 0.077, 0.750).

---

[21]
An optimized crystal structure of SnHg2Ge2. Source: Alexandria, functional PBE.

The calculation puts the relative energy among the computed polymorphs at 0.00 kJ per mole of atoms. The value obtained for the total energy is -2.549 eV/atom. The value obtained for the formation energy is 0.22 eV/atom. The calculation puts the theoretical density at 9.04 g/cm³.

The space group is I4/mmm (No. 139) and the conventional cell measures 3.748, 3.748 and 17.398 Å, with angles of 90.00, 90.00 and 90.00 degrees. The asymmetric unit holds Sn at (0.000, 0.000, 0.000), Hg at (0.000, 0.000, 0.395) and Ge at (0.000, 0.500, 0.250).

---

[22]
An optimized crystal structure of La9CdSn2. Source: Alexandria, functional PBE.

The value obtained for the total energy is -4.813 eV/atom. The value obtained for the formation energy is -0.37 eV/atom. The calculation puts the theoretical density at 6.90 g/cm³.

The space group is P4/mmm (No. 123) and the conventional cell measures 5.057, 5.057 and 15.056 Å, with angles of 90.00, 90.00 and 90.00 degrees. The asymmetric unit holds La at (0.000, 0.000, 0.000), La at (0.000, 0.000, 0.332), La at (0.000, 0.500, 0.170), La at (0.000, 0.500, 0.500), Cd at (0.500, 0.500, 0.000) and Sn at (0.500, 0.500, 0.333).